Record 1
This record from Alexandria describes a relaxed ScCr2Cl crystal. The functional is PBE.

a b c (Å): 4.764 4.764 4.764
angles (deg): 60.00 60.00 60.00
Element x y z (fractional)
Sc: 0.000 0.000 0.000
Cr: 0.250 0.250 0.250
Cr: 0.750 0.750 0.750
Cl: 0.500 0.500 0.500

- density (Mg/m³) = 4.0
- D(E_F) (states/eV/cell) = 3.6
- crystal system = cubic
- formation energy without anion corrections (eV per atom) = 0.832
- V (Å³/atom) = 19.108
- energy relative to the lowest polymorph listed for this composition (kJ/mol of atoms) = 98.90


Record 2
This record from Alexandria describes a relaxed NbCoSe2N crystal. The functional is PBE.

a b c (Å): 5.176 5.176 3.858
angles (deg): 90.00 90.00 90.00
Element x y z (fractional)
Nb: 0.000 0.000 0.000
Co: 0.500 0.500 0.500
Se: 0.000 0.500 0.000
Se: 0.500 0.000 0.000
N: 0.000 0.000 0.500

- density (Mg/m³) = 5.2
- D(E_F) (states/eV/cell) = 3.8
- crystal system = tetragonal
- formation energy without anion corrections (eV per atom) = 0.470
- V (Å³/atom) = 20.677
- energy relative to the lowest polymorph listed for this composition (kJ/mol of atoms) = 13.29


Please write out number 1 again, unchanged.
This record from Alexandria describes a relaxed ScCr2Cl crystal. The functional is PBE.

a b c (Å): 4.764 4.764 4.764
angles (deg): 60.00 60.00 60.00
Element x y z (fractional)
Sc: 0.000 0.000 0.000
Cr: 0.250 0.250 0.250
Cr: 0.750 0.750 0.750
Cl: 0.500 0.500 0.500

- density (Mg/m³) = 4.0
- D(E_F) (states/eV/cell) = 3.6
- crystal system = cubic
- formation energy without anion corrections (eV per atom) = 0.832
- V (Å³/atom) = 19.108
- energy relative to the lowest polymorph listed for this composition (kJ/mol of atoms) = 98.90


Number 2 is which compound? NbCoSe2N